(1)
# YCuSe2

Crystalline YCuSe2 at its relaxed geometry (PBE, Alexandria via LeMat-Bulk).

Cell: 3.683 3.683 7.054 Å, 90.00 90.00 111.28°
Sites, in units of the cell vectors:
1 Y 0.000 0.000 0.000
2 Cu 0.000 0.000 0.500
3 Se 0.500 0.500 0.264
4 Se 0.500 0.500 0.736

Results
Raw formation energy: -0.76 eV per atom



(2)
# SiSe2OF

Crystalline SiSe2OF at its relaxed geometry (PBE, Alexandria via LeMat-Bulk).

Cell: 5.004 5.004 3.221 Å, 90.00 90.00 90.00°
Sites, in units of the cell vectors:
1 Si 0.000 0.000 0.000
2 Se 0.000 0.500 0.000
3 Se 0.500 0.000 0.000
4 O 0.000 0.000 0.500
5 F 0.500 0.500 0.500

Results
Raw formation energy: -0.48 eV per atom



(3)
# Sm2Be3ZnPt4

Crystalline Sm2Be3ZnPt4 at its relaxed geometry (PBE, Alexandria via LeMat-Bulk).

Cell: 4.054 4.054 10.074 Å, 90.00 90.00 90.00°
Sites, in units of the cell vectors:
1 Sm 0.000 0.500 0.243
2 Sm 0.500 0.000 0.757
3 Be 0.000 0.500 0.883
4 Be 0.500 0.000 0.117
5 Be 0.500 0.500 0.500
6 Zn 0.000 0.000 0.500
7 Pt 0.000 0.000 0.000
8 Pt 0.000 0.500 0.649
9 Pt 0.500 0.000 0.351
10 Pt 0.500 0.500 0.000

Results
Formation energy from the elements: -0.859 eV/atom



(4)
# BaMg

Crystalline BaMg at its relaxed geometry (PBE, Alexandria via LeMat-Bulk).

Cell: 4.067 4.067 13.012 Å, 90.00 90.00 120.00°
Sites, in units of the cell vectors:
1 Ba 0.333 0.667 0.000
2 Ba 0.667 0.333 0.500
3 Mg 0.333 0.667 0.283
4 Mg 0.667 0.333 0.783

Results
Formation energy from the elements: 0.323 eV/atom